# 1
DFT (PBE) results for a relaxed Dy6Ho3Th2 crystal.

a b c (Å): 12.481 5.928 10.056
angles (deg): 90.00 90.00 90.00
Atoms (fractional coordinates):
Dy 0.298 0.813 0.500
Dy 0.278 0.786 0.161
Dy 0.798 0.687 0.000
Dy 0.778 0.714 0.339
Dy 0.222 0.286 0.661
Dy 0.722 0.214 0.839
Dy 0.778 0.714 0.661
Dy 0.202 0.313 0.000
Dy 0.722 0.214 0.161
Dy 0.702 0.187 0.500
Dy 0.278 0.786 0.839
Dy 0.222 0.286 0.339
Th 0.053 0.742 0.500
Th 0.947 0.258 0.500
Th 0.447 0.242 0.000
Th 0.553 0.758 0.000
Ho 0.000 0.500 0.820
Ho 0.500 0.000 0.320
Ho 0.500 0.000 0.680
Ho 0.000 0.500 0.180
Ho 0.000 0.000 0.000
Ho 0.500 0.500 0.500

Results
Spin magnetization = 0.0 μB/f.u.
E_form = 332 meV per atom
SG = Pnnm (58)

# 2
DFT (PBE) results for a relaxed CdPt crystal.

a b c (Å): 5.696 5.696 6.804
angles (deg): 75.07 75.07 30.10
Atoms (fractional coordinates):
Pt 0.994 0.994 0.999
Pt 0.945 0.945 0.607
Pt 0.284 0.284 0.943
Cd 0.339 0.339 0.334
Cd 0.612 0.612 0.260
Cd 0.659 0.659 0.689

Results
Spin magnetization = 0.0 μB/f.u.
E_form = -196 meV per atom
SG = Cm (8)

# 3
DFT (PBE) results for a relaxed TlSe2Br crystal.

a b c (Å): 5.172 5.172 5.172
angles (deg): 60.00 60.00 60.00
Atoms (fractional coordinates):
Se 0.250 0.250 0.250
Se 0.750 0.750 0.750
Tl 0.500 0.500 0.500
Br 0.000 0.000 0.000

Results
Spin magnetization = 0.0 μB/f.u.
Offset from the most stable computed form = 0.665 eV/atom
ΔE_f (raw) = 0.39 eV/atom
SG = Fm-3m (225)

# 4
DFT (PBE) results for a relaxed K2TlAu crystal.

a b c (Å): 6.291 6.291 6.291
angles (deg): 132.09 132.09 70.09
Site moments in Bohr magnetons follow the coordinates.
Atoms (fractional coordinates):
Tl 0.250 0.750 0.500  0.11
K 0.500 0.500 0.000  0.02
K 0.000 0.000 0.000  0.02
Au 0.750 0.250 0.500  0.01

Results
Spin magnetization = 0.6 μB/f.u.
E_form = -55 meV per atom
SG = I4/mmm (139)

# 5
DFT (PBE) results for a relaxed Pr2CoCu2 crystal.

a b c (Å): 3.991 5.721 10.191
angles (deg): 85.86 78.73 69.60
Atoms (fractional coordinates):
Cu 0.619 0.878 0.885
Cu 0.381 0.122 0.115
Cu 0.960 0.665 0.415
Cu 0.040 0.335 0.585
Co 0.427 0.836 0.310
Co 0.573 0.164 0.690
Pr 0.909 0.298 0.883
Pr 0.296 0.768 0.640
Pr 0.091 0.702 0.117
Pr 0.704 0.232 0.360

Results
Spin magnetization = 0.0 μB/f.u.
E_form = -105 meV per atom
SG = C2/m (12)

# 6
DFT (PBE) results for a relaxed MgTaH2Br crystal.

a b c (Å): 3.721 6.171 3.721
angles (deg): 90.00 90.00 90.00
Atoms (fractional coordinates):
H 0.500 0.000 0.000
H 0.000 0.000 0.500
Mg 0.000 0.000 0.000
Br 0.500 0.500 0.500
Ta 0.000 0.500 0.000

Results
Spin magnetization = 0.0 μB/f.u.
SG = P4/mmm (123)
E = -0.1316 hartree per atom

# 7
DFT (PBE) results for a relaxed AcCe2Zn crystal.

a b c (Å): 3.788 3.788 8.354
angles (deg): 90.00 90.00 90.00
Site moments in Bohr magnetons follow the coordinates.
Atoms (fractional coordinates):
Ac 0.500 0.500 0.500  0.04
Ce 0.000 0.000 0.188  0.65
Ce 0.000 0.000 0.812  0.65
Zn 0.500 0.500 0.000  0.01

Results
Spin magnetization = 1.7 μB/f.u.
Offset from the most stable computed form = 0.000 eV/atom
E_form = -4 meV per atom
SG = P4/mmm (123)

# 8
DFT (PBE) results for a relaxed H4PbS crystal.

a b c (Å): 6.876 6.876 5.840
angles (deg): 95.41 95.41 110.95
Atoms (fractional coordinates):
S 0.887 0.113 0.250
S 0.113 0.887 0.750
H 0.512 0.698 0.516
H 0.488 0.302 0.484
H 0.275 0.564 0.915
H 0.564 0.275 0.415
H 0.436 0.725 0.585
H 0.725 0.436 0.085
H 0.698 0.512 0.016
H 0.302 0.488 0.984
Pb 0.887 0.113 0.750
Pb 0.113 0.887 0.250

Results
Spin magnetization = 0.0 μB/f.u.
SG = C2/c (15)
E = -0.1324 hartree per atom

# 9
DFT (PBE) results for a relaxed YMgAl2Se crystal.

a b c (Å): 5.055 4.988 5.055
angles (deg): 90.00 90.00 90.00
Atoms (fractional coordinates):
Se 0.000 0.500 0.000
Al 0.500 0.000 0.000
Al 0.000 0.000 0.500
Y 0.500 0.500 0.500
Mg 0.000 0.000 0.000

Results
Spin magnetization = 0.0 μB/f.u.
ΔE_f (raw) = 0.24 eV/atom
SG = P4/mmm (123)

# 10
DFT (PBE) results for a relaxed La3Nd3MgTe8 crystal.

a b c (Å): 9.023 9.024 9.055
angles (deg): 119.89 90.00 120.00
Atoms (fractional coordinates):
La 0.000 0.500 0.000
La 0.500 0.500 0.000
La 0.000 0.000 0.000
Te 0.760 0.003 0.262
Te 0.240 0.997 0.738
Te 0.757 0.997 0.738
Te 0.243 0.003 0.262
Te 0.251 0.503 0.254
Te 0.240 0.481 0.738
Te 0.749 0.497 0.746
Te 0.760 0.519 0.262
Nd 0.500 0.000 0.500
Nd 0.500 0.500 0.500
Nd 0.000 0.500 0.500
Mg 0.000 0.000 0.500

Results
Spin magnetization = 0.0 μB/f.u.
ΔE_f (raw) = -1.43 eV/atom
SG = R-3m (166)

# 11
DFT (PBE) results for a relaxed LaCoPd3 crystal.

a b c (Å): 5.114 5.114 5.114
angles (deg): 90.00 90.00 90.00
Site moments in Bohr magnetons follow the coordinates.
Atoms (fractional coordinates):
Pd 0.000 0.000 0.500  -0.02
Pd 0.000 0.500 0.000  -0.03
Pd 0.500 0.000 0.000  -0.02
Co 0.500 0.500 0.500  2.20
La 0.000 0.000 0.000  -0.05

Results
Spin magnetization = 2.0 μB/f.u.
Offset from the most stable computed form = 1.195 eV/atom
E_form = 1100 meV per atom
SG = Pm-3m (221)

# 12
DFT (PBE) results for a relaxed PmHgIO6 crystal.

a b c (Å): 4.897 5.603 5.603
angles (deg): 120.00 90.00 90.00
Atoms (fractional coordinates):
O 0.725 0.272 0.986
O 0.275 0.272 0.286
O 0.725 0.714 0.728
O 0.275 0.014 0.728
O 0.275 0.714 0.986
O 0.725 0.014 0.286
Pm 0.000 0.333 0.667
Hg 0.500 0.667 0.333
I 0.500 0.000 0.000

Results
Spin magnetization = 0.0 μB/f.u.
ΔE_f (raw) = -1.15 eV/atom
SG = P312 (149)

How do the records compare in calculated volume? In the order shown, they have 743.9, 106.7, 97.8, 134.4, 213.9, 85.5, 119.9, 254.3, 127.4, 522.2, 133.7, 133.2 Å³/cell.